1.
The following is a DFT calculation (PBE-GGA) of a relaxed TaHIrRh2 crystal.

Unit cell a=3.892 b=3.892 c=4.106 alpha=90.00 beta=90.00 gamma=90.00
Space group P4/mmm (No. 123)
One atom of each set of equivalent atoms:
Ta 0.000 0.000 0.000 (multiplicity 1)
H 0.000 0.000 0.500 (multiplicity 1)
Ir 0.500 0.500 0.000 (multiplicity 1)
Rh 0.000 0.500 0.500 (multiplicity 2)

## Properties
Energy = -8.15 eV per atom
E above lowest polymorph = 58 meV per atom
Crystal system = tetragonal

=====

2.
The following is a DFT calculation (PBE-GGA) of a relaxed CaZn2Cr crystal.

Unit cell a=7.669 b=4.432 c=5.669 alpha=90.00 beta=117.07 gamma=90.00
Space group C2/m (No. 12)
One atom of each set of equivalent atoms:
Ca 0.000 0.000 0.000 (multiplicity 2)
Zn 0.200 0.000 0.600 (multiplicity 4)
Cr 0.000 0.500 0.500 (multiplicity 2)

## Properties
Energy = -3.46 eV per atom
Crystal system = monoclinic
ΔH_f (0 K) = 81 meV/atom

=====

3.
The following is a DFT calculation (PBE-GGA) of a relaxed LaVIn2 crystal.

Unit cell a=4.530 b=4.530 c=21.653 alpha=90.00 beta=90.00 gamma=90.00
Space group I-42d (No. 122)
One atom of each set of equivalent atoms:
La 0.000 0.000 0.000 (multiplicity 4)
V 0.000 0.000 0.500 (multiplicity 4)
In 0.210 0.250 0.625 (multiplicity 8)

## Properties
Energy = -4.54 eV per atom
Crystal system = tetragonal
ΔH_f (0 K) = 338 meV/atom

=====

4.
The following is a DFT calculation (PBE-GGA) of a relaxed Sr2BiBPd6 crystal.

Unit cell a=6.051 b=8.976 c=7.570 alpha=90.00 beta=90.00 gamma=90.00
Space group Pmmn (No. 59, origin choice 2)
One atom of each set of equivalent atoms:
Sr 0.250 0.030 0.219 (multiplicity 4)
Bi 0.250 0.750 0.833 (multiplicity 2)
B 0.250 0.250 0.669 (multiplicity 2)
Pd 0.016 0.250 0.875 (multiplicity 4)
Pd 0.019 0.750 0.504 (multiplicity 4)
Pd 0.250 0.015 0.642 (multiplicity 4)

## Properties
Energy = -5.05 eV per atom
Crystal system = orthorhombic
ΔH_f (0 K) = -541 meV/atom

=====

5.
The following is a DFT calculation (PBE-GGA) of a relaxed RbHf3Mo crystal.

Unit cell a=4.889 b=4.889 c=4.889 alpha=90.00 beta=90.00 gamma=90.00
Space group Pm-3m (No. 221)
One atom of each set of equivalent atoms:
Rb 0.000 0.000 0.000 (multiplicity 1)
Hf 0.000 0.000 0.500 (multiplicity 3)
Mo 0.500 0.500 0.500 (multiplicity 1)

## Properties
Energy = -5.71 eV per atom
E above lowest polymorph = 1655 meV per atom
Crystal system = cubic
ΔH_f (0 K) = 2619 meV/atom

=====

6.
The following is a DFT calculation (PBE-GGA) of a relaxed Er2Al8Co crystal.

Unit cell a=4.202 b=4.202 c=11.073 alpha=90.00 beta=90.00 gamma=90.00
Space group P4/mmm (No. 123)
One atom of each set of equivalent atoms:
Er 0.000 0.000 0.193 (multiplicity 2)
Al 0.000 0.500 0.000 (multiplicity 2)
Al 0.000 0.500 0.383 (multiplicity 4)
Al 0.500 0.500 0.194 (multiplicity 2)
Co 0.000 0.000 0.500 (multiplicity 1)

## Properties
Energy = -4.65 eV per atom
Crystal system = tetragonal
ΔH_f (0 K) = -448 meV/atom

=====

7.
The following is a DFT calculation (PBE-GGA) of a relaxed Ga2HgI crystal.

Unit cell a=6.695 b=6.695 c=13.100 alpha=90.00 beta=90.00 gamma=90.00
Space group I-42d (No. 122)
One atom of each set of equivalent atoms:
Ga 0.205 0.250 0.125 (multiplicity 8)
Hg 0.000 0.000 0.000 (multiplicity 4)
I 0.000 0.000 0.500 (multiplicity 4)

## Properties
Raw formation energy = 0.068 eV/atom
Energy = -1.91 eV per atom
E above lowest polymorph = 101 meV per atom
Crystal system = tetragonal

=====

8.
The following is a DFT calculation (PBE-GGA) of a relaxed Pr15Dy4Sc crystal.

Unit cell a=5.179 b=5.179 c=25.804 alpha=90.00 beta=90.00 gamma=90.00
Space group P4/mmm (No. 123)
One atom of each set of equivalent atoms:
Pr 0.000 0.000 0.000 (multiplicity 1)
Pr 0.000 0.000 0.198 (multiplicity 2)
Pr 0.000 0.000 0.399 (multiplicity 2)
Pr 0.000 0.500 0.097 (multiplicity 4)
Pr 0.000 0.500 0.299 (multiplicity 4)
Pr 0.000 0.500 0.500 (multiplicity 2)
Dy 0.500 0.500 0.198 (multiplicity 2)
Dy 0.500 0.500 0.399 (multiplicity 2)
Sc 0.500 0.500 0.000 (multiplicity 1)

## Properties
Energy = -4.81 eV per atom
Crystal system = tetragonal
ΔH_f (0 K) = 16 meV/atom

=====

9.
The following is a DFT calculation (PBE-GGA) of a relaxed SrTl4Hg8 crystal.

Unit cell a=10.876 b=10.876 c=6.551 alpha=90.00 beta=90.00 gamma=90.00
Space group I4/mmm (No. 139)
One atom of each set of equivalent atoms:
Sr 0.000 0.000 0.000 (multiplicity 2)
Tl 0.250 0.250 0.250 (multiplicity 8)
Hg 0.000 0.203 0.500 (multiplicity 8)
Hg 0.000 0.357 0.000 (multiplicity 8)

## Properties
Energy = -1.09 eV per atom
Crystal system = tetragonal
ΔH_f (0 K) = -50 meV/atom

=====

10.
The following is a DFT calculation (PBE-GGA) of a relaxed LaV3I crystal.

Unit cell a=4.958 b=4.958 c=4.958 alpha=90.00 beta=90.00 gamma=90.00
Space group Pm-3m (No. 221)
One atom of each set of equivalent atoms:
La 0.000 0.000 0.000 (multiplicity 1)
V 0.000 0.500 0.500 (multiplicity 3)
I 0.500 0.500 0.500 (multiplicity 1)

## Properties
Raw formation energy = 1.118 eV/atom
Energy = -5.65 eV per atom
E above lowest polymorph = 0 meV per atom
Crystal system = cubic

=====

11.
The following is a DFT calculation (PBE-GGA) of a relaxed MgSc crystal.

Unit cell a=11.865 b=3.205 c=5.623 alpha=90.00 beta=117.53 gamma=90.00
Space group C2/m (No. 12)
One atom of each set of equivalent atoms:
Mg 0.128 0.000 0.466 (multiplicity 4)
Sc 0.124 0.500 0.957 (multiplicity 4)

## Properties
Energy = -3.96 eV per atom
Crystal system = monoclinic
ΔH_f (0 K) = 3 meV/atom

=====

12.
The following is a DFT calculation (PBE-GGA) of a relaxed Rb3Pm3PaTe8 crystal.

Unit cell a=9.1272 b=9.1272 c=26.1806 alpha=90.00 beta=90.00 gamma=120.00
Space group R-3m (No. 166, hexagonal axes)
One atom of each set of equivalent atoms:
Rb 0.0000 0.5000 0.0000 (multiplicity 9)
Pm 0.0000 0.5000 0.5000 (multiplicity 9)
Pa 0.0000 0.0000 0.5000 (multiplicity 3)
Te 0.0000 0.0000 0.2346 (multiplicity 6)
Te 0.0057 0.5029 0.2330 (multiplicity 18)

## Properties
Raw formation energy = -1.290 eV/atom
Energy = -4.74 eV per atom
Crystal system = trigonal

=====

13.
The following is a DFT calculation (PBE-GGA) of a relaxed BeCoHg2 crystal.

Unit cell a=3.155 b=3.155 c=6.223 alpha=90.00 beta=90.00 gamma=90.00
Space group P4/mmm (No. 123)
One atom of each set of equivalent atoms:
Be 0.000 0.000 0.000 (multiplicity 1)
Co 0.000 0.000 0.500 (multiplicity 1)
Hg 0.500 0.500 0.243 (multiplicity 2)

## Properties
Energy = -2.34 eV per atom
Crystal system = tetragonal
ΔH_f (0 K) = 524 meV/atom

=====

14.
The following is a DFT calculation (PBE-GGA) of a relaxed LiCe4Pa3As8 crystal.

Unit cell a=8.2873 b=8.2873 c=20.3627 alpha=90.00 beta=90.00 gamma=120.00
Space group R-3m (No. 166, hexagonal axes)
One atom of each set of equivalent atoms:
Li 0.0000 0.0000 0.0000 (multiplicity 3)
Ce 0.0000 0.0000 0.5000 (multiplicity 3)
Ce 0.0000 0.5000 0.5000 (multiplicity 9)
Pa 0.0000 0.5000 0.0000 (multiplicity 9)
As 0.0000 0.0000 0.2528 (multiplicity 6)
As 0.0015 0.5008 0.2539 (multiplicity 18)

## Properties
Energy = -6.87 eV per atom
Crystal system = trigonal
ΔH_f (0 K) = -1161 meV/atom

=====

15.
The following is a DFT calculation (PBE-GGA) of a relaxed CrIn2CuBr crystal.

Unit cell a=5.038 b=5.038 c=5.401 alpha=90.00 beta=90.00 gamma=90.00
Space group P4/mmm (No. 123)
One atom of each set of equivalent atoms:
Cr 0.000 0.000 0.000 (multiplicity 1)
In 0.000 0.500 0.500 (multiplicity 2)
Cu 0.500 0.500 0.500 (multiplicity 1)
Br 0.500 0.500 0.000 (multiplicity 1)

## Properties
Raw formation energy = 0.545 eV/atom
Energy = -3.63 eV per atom
Crystal system = tetragonal

=====

16.
The following is a DFT calculation (PBE-GGA) of a relaxed YFe2Co crystal.

Unit cell a=2.9798 b=2.9798 c=25.3456 alpha=90.00 beta=90.00 gamma=120.00
Space group R-3m (No. 166, hexagonal axes)
One atom of each set of equivalent atoms:
Y 0.0000 0.0000 0.0000 (multiplicity 3)
Fe 0.0000 0.0000 0.2349 (multiplicity 6)
Co 0.0000 0.0000 0.5000 (multiplicity 3)

## Properties
Energy = -7.07 eV per atom
Crystal system = trigonal
ΔH_f (0 K) = 557 meV/atom

=====

17.
The following is a DFT calculation (PBE-GGA) of a relaxed BeMo2Rh crystal.

Unit cell a=2.7706 b=2.7706 c=25.1955 alpha=90.00 beta=90.00 gamma=120.00
Space group R3m (No. 160, hexagonal axes)
One atom of each set of equivalent atoms:
Be 0.0000 0.0000 0.0000 (multiplicity 3)
Mo 0.0000 0.0000 0.2534 (multiplicity 3)
Mo 0.0000 0.0000 0.4900 (multiplicity 3)
Rh 0.0000 0.0000 0.7354 (multiplicity 3)

## Properties
Energy = -8.09 eV per atom
Crystal system = trigonal
ΔH_f (0 K) = 98 meV/atom

=====

18.
The following is a DFT calculation (PBE-GGA) of a relaxed Dy3ZnN crystal.

Unit cell a=4.771 b=4.771 c=4.771 alpha=90.00 beta=90.00 gamma=90.00
Space group Pm-3m (No. 221)
One atom of each set of equivalent atoms:
Dy 0.000 0.000 0.500 (multiplicity 3)
Zn 0.500 0.500 0.500 (multiplicity 1)
N 0.000 0.000 0.000 (multiplicity 1)

## Properties
Raw formation energy = -0.790 eV/atom
Energy = -5.47 eV per atom
Crystal system = cubic

=====

19.
The following is a DFT calculation (PBE-GGA) of a relaxed ErNiP crystal.

Unit cell a=3.8665 b=3.8665 c=7.6918 alpha=90.00 beta=90.00 gamma=120.00
Space group P6_3/mmc (No. 194)
One atom of each set of equivalent atoms:
Er 0.0000 0.0000 0.0000 (multiplicity 2)
Ni 0.3333 0.6667 0.2500 (multiplicity 2)
P 0.3333 0.6667 0.7500 (multiplicity 2)

## Properties
Energy = -6.47 eV per atom
Crystal system = hexagonal
ΔH_f (0 K) = -1220 meV/atom

=====

20.
The following is a DFT calculation (PBE-GGA) of a relaxed RePRu3 crystal.

Unit cell a=4.302 b=4.302 c=4.302 alpha=90.00 beta=90.00 gamma=90.00
Space group Pm-3m (No. 221)
One atom of each set of equivalent atoms:
Re 0.000 0.000 0.000 (multiplicity 1)
P 0.500 0.500 0.500 (multiplicity 1)
Ru 0.000 0.500 0.500 (multiplicity 3)

## Properties
Energy = -8.32 eV per atom
E above lowest polymorph = 0 meV per atom
Crystal system = cubic
ΔH_f (0 K) = 816 meV/atom

=====

21.
The following is a DFT calculation (PBE-GGA) of a relaxed NaSrSb crystal.

Unit cell a=3.675 b=6.528 c=9.138 alpha=71.99 beta=89.94 gamma=73.90
Space group P-1 (No. 2)
One atom of each set of equivalent atoms:
Na 0.128 0.248 0.019 (multiplicity 2)
Sr 0.150 0.198 0.626 (multiplicity 2)
Sb 0.438 0.625 0.710 (multiplicity 2)

## Properties
Raw formation energy = -0.529 eV/atom
Energy = -2.90 eV per atom
Crystal system = triclinic

=====

22.
The following is a DFT calculation (PBE-GGA) of a relaxed TiWN crystal.

Unit cell a=3.0101 b=3.0101 c=4.7122 alpha=90.00 beta=90.00 gamma=120.00
Space group P3m1 (No. 156)
One atom of each set of equivalent atoms:
Ti 0.0000 0.0000 0.0000 (multiplicity 1)
W 0.3333 0.6667 0.4964 (multiplicity 1)
N 0.6667 0.3333 0.7585 (multiplicity 1)

## Properties
Raw formation energy = -0.761 eV/atom
Energy = -10.49 eV per atom
E above lowest polymorph = 58 meV per atom
Crystal system = trigonal

=====

23.
The following is a DFT calculation (PBE-GGA) of a relaxed KSn crystal.

Unit cell a=11.446 b=11.446 c=18.808 alpha=90.00 beta=90.00 gamma=90.00
Space group I4_1/acd (No. 142, origin choice 2)
One atom of each set of equivalent atoms:
K 0.123 0.127 0.125 (multiplicity 16)
K 0.135 0.000 0.750 (multiplicity 16)
Sn 0.064 0.136 0.932 (multiplicity 32)

## Properties
Energy = -2.85 eV per atom
Crystal system = tetragonal
ΔH_f (0 K) = -302 meV/atom